## Na2AgPtBr6 (PBE-GGA)

Data for crystalline Na2AgPtBr6 at its relaxed geometry.

Results
Volume = 28.57 Å³ per atom
Final energy = -2.8946 eV/atom
Symmetry = No. 1
Formation energy from raw total energies = -0.738 eV per atom

Unit cell a=7.3906 b=7.2494 c=7.7183 alpha=59.05 beta=59.94 gamma=58.07
Each line ends with the local moment (μB).
Atoms (fractional coordinates):
Na 0.5372 0.5183 0.4159  0.00
Na 0.0126 0.0320 0.9459  0.00
Ag 0.8134 0.8235 0.5404  0.03
Pt 0.3255 0.3265 0.0198  0.37
Br 0.5783 0.1796 0.2762  0.08
Br 0.2064 0.9824 0.2496  0.02
Br 0.9872 0.5586 0.2465  0.02
Br 0.4342 0.6769 0.7770  0.01
Br 0.6723 0.1005 0.7914  0.02
Br 0.0946 0.4631 0.7524  0.09

=====

## NaAg2PtBr8 (PBE-GGA)

Data for crystalline NaAg2PtBr8 at its relaxed geometry.

Results
Volume = 30.29 Å³ per atom
Final energy = -2.6794 eV/atom
Symmetry = No. 2
Formation energy from raw total energies = -0.476 eV per atom

Unit cell a=7.0393 b=7.4949 c=8.1518 alpha=89.94 beta=90.04 gamma=122.31
Atoms (fractional coordinates):
Na 0.0000 0.0000 0.5000
Ag 0.4999 0.4999 0.7305
Ag 0.5001 0.5001 0.2695
Pt 0.0000 0.0000 0.0000
Br 0.0041 0.7610 0.2137
Br 0.5796 0.7809 0.0000
Br 0.9961 0.2390 0.2133
Br 0.9959 0.2390 0.7863
Br 0.4204 0.2191 0.0000
Br 0.0039 0.7610 0.7867
Br 0.4908 0.7519 0.5000
Br 0.5092 0.2481 0.5000

=====

## NaPuAgBr5 (PBE-GGA)

Data for crystalline NaPuAgBr5 at its relaxed geometry.

Results
Volume = 35.38 Å³ per atom
Final energy = -4.5639 eV/atom
Symmetry = No. 15
Formation energy from raw total energies = -1.206 eV per atom

Unit cell a=7.9688 b=7.9688 c=10.5954 alpha=100.46 beta=100.46 gamma=116.36
Each line ends with the local moment (μB).
Atoms (fractional coordinates):
Na 0.4348 0.5652 0.2500  0.00
Na 0.5652 0.4348 0.7500  0.00
Pu 0.0000 0.0000 0.5000  5.09
Pu 0.0000 0.0000 0.0000  5.09
Ag 0.7199 0.2801 0.2500  -0.01
Ag 0.2801 0.7199 0.7500  -0.01
Br 0.0845 0.9155 0.2500  -0.05
Br 0.9155 0.0845 0.7500  -0.05
Br 0.0128 0.3543 0.1369  -0.03
Br 0.9872 0.6457 0.8631  -0.03
Br 0.6457 0.9872 0.3631  -0.03
Br 0.3543 0.0128 0.6369  -0.03
Br 0.7565 0.5818 0.4505  -0.03
Br 0.2435 0.4182 0.5495  -0.03
Br 0.4182 0.2435 0.0495  -0.03
Br 0.5818 0.7565 0.9505  -0.03